# 1
# CdMo2Se (GGA-PBE, relaxed)
data_CdMo2Se
_cell_length_a 4.587
_cell_length_b 3.033
_cell_length_c 10.619
_cell_angle_alpha 90.00
_cell_angle_beta 90.00
_cell_angle_gamma 90.00
_space_group_name_H-M_alt 'A m m 2'
_space_group_IT_number 38
_space_group_name_Hall 'A 2 -2'
loop_
_atom_site_label
_atom_site_fract_x
_atom_site_fract_y
_atom_site_fract_z
_atom_site_occupancy
Cd1 0.000 0.000 0.000 1
Mo1 0.000 0.000 0.258 1
Mo2 0.500 0.000 0.666 1
Se1 0.500 0.000 0.354 1
# - E_form (uncorrected) (meV/atom) = 333
# - offset from the most stable computed form (eV per formula unit) = 0.75

# 2
# Ba3Tl2Ag4 (GGA-PBE, relaxed)
data_Ba3Tl2Ag4
_cell_length_a 12.448
_cell_length_b 5.049
_cell_length_c 9.768
_cell_angle_alpha 90.00
_cell_angle_beta 109.82
_cell_angle_gamma 90.00
_space_group_name_H-M_alt 'C 1 2/m 1'
_space_group_IT_number 12
_space_group_name_Hall '-C 2y'
loop_
_atom_site_label
_atom_site_fract_x
_atom_site_fract_y
_atom_site_fract_z
_atom_site_occupancy
Ba1 0.000 0.000 0.000 1
Ba2 0.150 0.500 0.683 1
Tl1 0.143 0.500 0.311 1
Ag1 0.077 0.000 0.414 1
Ag2 0.225 0.500 0.057 1
# - energy of formation (eV/atom) = -0.27

# 3
# Sr4Bi2O (GGA-PBE, relaxed)
data_Sr4Bi2O
_cell_length_a 7.117
_cell_length_b 7.462
_cell_length_c 9.941
_cell_angle_alpha 90.00
_cell_angle_beta 110.52
_cell_angle_gamma 90.00
_space_group_name_H-M_alt 'P 1 21/m 1'
_space_group_IT_number 11
_space_group_name_Hall '-P 2yb'
loop_
_atom_site_label
_atom_site_fract_x
_atom_site_fract_y
_atom_site_fract_z
_atom_site_occupancy
Sr1 0.005 0.010 0.268 1
Sr2 0.372 0.750 0.047 1
Sr3 0.429 0.750 0.656 1
Bi1 0.192 0.250 0.033 1
Bi2 0.304 0.250 0.582 1
O1 0.216 0.750 0.791 1
# - E_form (uncorrected) (meV/atom) = -1426
# - offset from the most stable computed form (eV per formula unit) = 0.36

# 4
# CaPr14Er (GGA-PBE, relaxed)
data_CaPr14Er
_cell_length_a 7.428
_cell_length_b 7.428
_cell_length_c 10.443
_cell_angle_alpha 90.00
_cell_angle_beta 90.00
_cell_angle_gamma 90.00
_space_group_name_H-M_alt 'P 4/m m m'
_space_group_IT_number 123
_space_group_name_Hall '-P 4 2'
loop_
_atom_site_label
_atom_site_fract_x
_atom_site_fract_y
_atom_site_fract_z
_atom_site_occupancy
Ca1 0.000 0.000 0.000 1
Pr1 0.000 0.000 0.500 1
Pr2 0.000 0.500 0.000 1
Pr3 0.000 0.500 0.500 1
Pr4 0.254 0.254 0.251 1
Pr5 0.500 0.500 0.500 1
Er1 0.500 0.500 0.000 1
# - energy of formation (eV/atom) = 0.02